Compound: MgCo4O6
Source: Alexandria
Functional: PBE+U
Structure: optimized geometry

Computed properties:
Total moment in μB per atom: 0.55
Calculated total energy in eV/f.u.: -64.87

Structure (CIF):
```
data_MgCo4O6
_space_group_name_H-M_alt 'P 1'
_space_group_IT_number 1
_space_group_name_Hall 'P 1'
_cell_length_a 5.035
_cell_length_b 5.035
_cell_length_c 15.069
_cell_angle_alpha 90.00
_cell_angle_beta 90.00
_cell_angle_gamma 146.95
loop_
_atom_site_label
_atom_site_type_symbol
_atom_site_fract_x
_atom_site_fract_y
_atom_site_fract_z
O1 O 0.946 0.054 0.343
O2 O 0.946 0.054 0.157
O3 O 0.234 0.766 0.071
O4 O 0.766 0.234 0.929
O5 O 0.500 0.500 0.500
O6 O 0.054 0.946 0.657
O7 O 0.500 0.500 0.000
O8 O 0.697 0.303 0.250
O9 O 0.234 0.766 0.429
O10 O 0.054 0.946 0.843
O11 O 0.766 0.234 0.571
O12 O 0.303 0.697 0.750
Co1 Co 0.137 0.863 0.957
Co2 Co 0.137 0.863 0.543
Co3 Co 0.595 0.405 0.141
Co4 Co 0.863 0.137 0.043
Co5 Co 0.595 0.405 0.359
Co6 Co 0.405 0.595 0.859
Co7 Co 0.863 0.137 0.457
Co8 Co 0.405 0.595 0.641
Mg1 Mg 0.347 0.653 0.250
Mg2 Mg 0.653 0.347 0.750
```